DFT (PBE+U) results for a geometry-optimized MnNi2MoO6 structure.

Summary:
Total magnetic moment in Bohr magnetons per cell: 7.0
Total DFT energy (no corrections) in eV for the cell shown: -59.9

abc: 5.729 5.729 3.975
angles: 90.00 90.00 90.00
Fractional coordinates of all 10 atoms:
Mn 0.000 0.000 0.000
Ni 0.000 0.500 0.151
Ni 0.500 0.000 0.151
Mo 0.500 0.500 0.943
O 0.000 0.000 0.520
O 0.258 0.258 0.052
O 0.258 0.742 0.052
O 0.500 0.500 0.503
O 0.742 0.258 0.052
O 0.742 0.742 0.052